A plane-wave DFT calculation with PBE was carried out for CsNa2I2 after structural relaxation.

abc: 6.0769 6.0769 12.2828
angles: 90.00 90.00 90.00
Space group I4/mmm (No. 139)
Symmetry-distinct sites (fractional):
1 Cs 0.0000 0.0000 0.0000 [2 per cell]
2 Na 0.0000 0.0000 0.3471 [4 per cell]
3 I 0.0000 0.5000 0.2500 [4 per cell]

Calculated values
density = 3.17 g cm⁻³
energy = -2.284 eV per atom